# Pm2Zn6Ir3

An optimized crystal structure of Pm2Zn6Ir3 (PBE, Alexandria).

Unit cell a=7.6552 b=7.6552 c=4.0256 alpha=90.00 beta=90.00 gamma=120.00
Positions (direct):
1 Pm 0.3333 0.6667 0.0000
2 Pm 0.6667 0.3333 0.0000
3 Zn 0.0000 0.1937 0.0000
4 Zn 0.0000 0.7263 0.5000
5 Zn 0.1937 0.0000 0.0000
6 Zn 0.2737 0.2737 0.5000
7 Zn 0.7263 0.0000 0.5000
8 Zn 0.8063 0.8063 0.0000
9 Ir 0.0000 0.3933 0.5000
10 Ir 0.3933 0.0000 0.5000
11 Ir 0.6067 0.6067 0.5000

* SG: P-62m
* ΔH_f (0 K): -0.36 eV/atom